Record 1
Computed, not measured: crystalline CoSnSe2N at its relaxed geometry at the PBE level of DFT.

The structure in POSCAR format:
```
CoSnSe2N
1.0
5.1010 0.0000 0.0000
0.0000 5.1010 0.0000
0.0000 0.0000 3.4501
Co Sn Se N
1 1 2 1
direct
0.0000 0.0000 0.0000
0.5000 0.5000 0.5000
0.0000 0.5000 0.0000
0.5000 0.0000 0.0000
0.0000 0.0000 0.5000
```

## Properties
Mass density = 6.5 g/cm³
Volume = 18.0 Å³ per atom
E = -5.0923 eV/atom
Formation energy (no corrections) = 0.188 eV per atom



Record 2
Computed, not measured: crystalline CoSnSe2N at its relaxed geometry at the PBE level of DFT.

The structure in POSCAR format:
```
CoSnSe2N
1.0
5.3612 0.0000 0.0000
0.0000 5.3612 0.0000
0.0000 0.0000 3.9352
Co Sn Se N
1 1 2 1
direct
0.5000 0.5000 0.5000
0.0000 0.0000 0.0000
0.0000 0.5000 0.0000
0.5000 0.0000 0.0000
0.0000 0.0000 0.5000
```

## Properties
Mass density = 5.1 g/cm³
Volume = 22.6 Å³ per atom
E = -4.0658 eV/atom
Formation energy (no corrections) = 1.215 eV per atom



Record 3
Computed, not measured: crystalline CoSnSeN2 at its relaxed geometry at the PBE level of DFT.

The structure in POSCAR format:
```
CoSnSeN2
1.0
-1.8455 3.3642 0.5607
-2.6303 -1.8098 2.2011
2.7946 0.8588 4.0457
Co Sn Se N
1 1 1 2
direct
0.0000 0.0000 0.0000
0.5000 0.5000 0.5000
0.0000 0.0000 0.5000
0.0000 0.5000 0.0000
0.5000 0.0000 0.0000
```

## Properties
Mass density = 6.3 g/cm³
Volume = 15.0 Å³ per atom
E = -5.2997 eV/atom
Formation energy (no corrections) = 0.949 eV per atom



Record 4
Computed, not measured: crystalline Sr2CoSeN at its relaxed geometry at the PBE level of DFT.

The structure in POSCAR format:
```
Sr2CoSeN
1.0
-1.9760 -2.6412 -4.2831
4.8925 0.0673 -2.2987
0.7834 -3.1408 1.5754
Sr Co Se N
2 1 1 1
direct
0.0000 0.5000 0.0000
0.5000 0.0000 0.0000
0.0000 0.0000 0.5000
0.5000 0.5000 0.5000
0.0000 0.0000 0.0000
```

## Properties
Mass density = 5.2 g/cm³
Volume = 21.0 Å³ per atom
E = -5.4341 eV/atom
Formation energy (no corrections) = -0.978 eV per atom



Number 1: total moment 0.000 Bohr magnetons per cell. Number 2: total moment 2.739 Bohr magnetons per cell. Number 3: total moment 3.322 Bohr magnetons per cell. Number 4: total moment 0.509 Bohr magnetons per cell.